# Sr2Sn3HgPt4 PBE-GGA relaxed
data_Sr2Sn3HgPt4
_chemical_formula_sum 'Sr2 Sn3 Hg1 Pt4'
_space_group_name_H-M_alt 'P -4 m 2'
_space_group_IT_number 115
_cell_length_a 4.8143
_cell_length_b 4.8143
_cell_length_c 10.3146
_cell_angle_alpha 90.00
_cell_angle_beta 90.00
_cell_angle_gamma 90.00
loop_
_space_group_symop_operation_xyz
'x,y,z'
'y,-x,-z'
'-x,-y,z'
'-y,x,-z'
'-x,y,z'
'-y,-x,-z'
'x,-y,z'
'y,x,-z'
loop_
_atom_site_label
_atom_site_fract_x
_atom_site_fract_y
_atom_site_fract_z
Sr1 0.0000 0.5000 0.2460
Sn1 0.0000 0.5000 0.8825
Sn2 0.5000 0.5000 0.5000
Hg1 0.0000 0.0000 0.5000
Pt1 0.0000 0.0000 0.0000
Pt2 0.0000 0.5000 0.6293
Pt3 0.5000 0.5000 0.0000
# VASP energy	-0.1726	hartree per atom